1.
Below is a geometry-optimized Sm8InSe6 structure, with properties calculated at the PBE-GGA level.

Summary:
N(E_F), states/eV/cell: 12.46
SG: P-3 (147)
Raw formation energy, meV/atom: -1364
Calculated total energy, eV per cell: -81.856

Cell: 4.1594 10.8147 10.8147 Å, 120.00 90.00 90.00°
Fractional coordinates of all 15 atoms:
Sm 0.7495 0.7090 0.6737
Sm 0.2505 0.2910 0.3263
Sm 0.2505 0.6737 0.9646
Sm 0.7495 0.3263 0.0354
Sm 0.2505 0.0354 0.7090
Sm 0.2505 0.6667 0.3333
Sm 0.7495 0.9646 0.2910
Sm 0.7495 0.3333 0.6667
Se 0.7488 0.4836 0.3510
Se 0.2512 0.5164 0.6490
Se 0.7488 0.8674 0.5164
Se 0.7488 0.6490 0.1326
Se 0.2512 0.1326 0.4836
Se 0.2512 0.3510 0.8674
In 0.5000 0.0000 0.0000


2.
Below is a geometry-optimized Sm3In5Se12 structure, with properties calculated at the PBE-GGA level.

Summary:
SG: Ia-3d (230)
Raw formation energy, meV/atom: -992
Calculated total energy, eV per cell: -358.000

Cell: 14.3818 14.3818 14.3818 Å, 109.47 109.47 109.47°
Fractional coordinates of all 80 atoms:
Sm 0.6250 0.3750 0.7500
Sm 0.3750 0.6250 0.2500
Sm 0.2500 0.1250 0.3750
Sm 0.1250 0.8750 0.7500
Sm 0.3750 0.7500 0.6250
Sm 0.7500 0.3750 0.1250
Sm 0.2500 0.6250 0.8750
Sm 0.6250 0.2500 0.3750
Sm 0.7500 0.8750 0.6250
Sm 0.8750 0.7500 0.1250
Sm 0.8750 0.1250 0.2500
Sm 0.1250 0.2500 0.8750
Se 0.8268 0.9129 0.0433
Se 0.9567 0.5871 0.1732
Se 0.9139 0.8268 0.7835
Se 0.5871 0.9567 0.6732
Se 0.0433 0.4129 0.8268
Se 0.7165 0.1304 0.0433
Se 0.0861 0.9129 0.3696
Se 0.0871 0.9139 0.1304
Se 0.3696 0.9567 0.7835
Se 0.5861 0.7165 0.6732
Se 0.6732 0.4567 0.5871
Se 0.6304 0.0433 0.2165
Se 0.4129 0.0433 0.3268
Se 0.7165 0.5861 0.1732
Se 0.4139 0.2835 0.3268
Se 0.4139 0.1304 0.5871
Se 0.4129 0.3696 0.5861
Se 0.9129 0.0861 0.8696
Se 0.2165 0.5433 0.6304
Se 0.7835 0.3268 0.9139
Se 0.6304 0.5871 0.9139
Se 0.2835 0.4139 0.8268
Se 0.1732 0.0861 0.7165
Se 0.2835 0.8696 0.9567
Se 0.7835 0.4567 0.3696
Se 0.9567 0.3696 0.2835
Se 0.5871 0.6304 0.4139
Se 0.9139 0.0871 0.6304
Se 0.1732 0.0871 0.9567
Se 0.8696 0.2835 0.4567
Se 0.5861 0.8696 0.4129
Se 0.8696 0.5861 0.9129
Se 0.0861 0.1732 0.2165
Se 0.3268 0.7835 0.4139
Se 0.1304 0.7165 0.5433
Se 0.1304 0.4139 0.0871
Se 0.9129 0.8268 0.5433
Se 0.0871 0.1732 0.4567
Se 0.4567 0.6732 0.0871
Se 0.5433 0.3268 0.9129
Se 0.2165 0.6732 0.0861
Se 0.3696 0.4129 0.0861
Se 0.3268 0.5433 0.4129
Se 0.5433 0.2165 0.1304
Se 0.0433 0.6304 0.7165
Se 0.4567 0.7835 0.8696
Se 0.8268 0.9139 0.2835
Se 0.6732 0.2165 0.5861
In 0.5000 0.5000 0.0000
In 0.1250 0.3750 0.2500
In 0.7500 0.1250 0.8750
In 0.0000 0.5000 0.5000
In 0.7500 0.6250 0.3750
In 0.0000 0.0000 0.5000
In 0.8750 0.6250 0.7500
In 0.5000 0.0000 0.0000
In 0.0000 0.5000 0.0000
In 0.3750 0.1250 0.7500
In 0.1250 0.7500 0.3750
In 0.2500 0.8750 0.1250
In 0.3750 0.2500 0.1250
In 0.5000 0.5000 0.5000
In 0.6250 0.8750 0.2500
In 0.2500 0.3750 0.6250
In 0.0000 0.0000 0.0000
In 0.5000 0.0000 0.5000
In 0.6250 0.7500 0.8750
In 0.8750 0.2500 0.6250


3.
Below is a geometry-optimized Sm2InSe5 structure, with properties calculated at the PBE-GGA level.

Summary:
N(E_F), states/eV/cell: 11.85
SG: Cmcm (63)
Raw formation energy, meV/atom: -1170
Calculated total energy, eV per cell: -77.924

Cell: 5.7709 7.7475 12.8896 Å, 90.00 90.00 111.87°
Fractional coordinates of all 16 atoms:
Sm 0.8344 0.6688 0.0709
Sm 0.1656 0.3312 0.5709
Sm 0.8344 0.6688 0.4291
Sm 0.1656 0.3312 0.9291
Se 0.0328 0.0657 0.1030
Se 0.3063 0.6126 0.0901
Se 0.3063 0.6126 0.4099
Se 0.9672 0.9343 0.6030
Se 0.6937 0.3874 0.5901
Se 0.7109 0.4218 0.2500
Se 0.0328 0.0657 0.3970
Se 0.6937 0.3874 0.9099
Se 0.2891 0.5782 0.7500
Se 0.9672 0.9343 0.8970
In 0.8219 0.6438 0.7500
In 0.1781 0.3562 0.2500


4.
Below is a geometry-optimized Sm2InSe structure, with properties calculated at the PBE-GGA level.

Summary:
N(E_F), states/eV/cell: 3.73
SG: Cmcm (63)
Raw formation energy, meV/atom: -1148
Calculated total energy, eV per cell: -40.506
Excess energy over the best structure of this formula in the dataset, meV per atom: 0

Cell: 4.2976 4.3946 11.9919 Å, 100.56 90.00 90.00°
Fractional coordinates of all 8 atoms:
Sm 0.2500 0.3161 0.6321
Sm 0.2500 0.0701 0.1402
Sm 0.7500 0.6839 0.3679
Sm 0.7500 0.9299 0.8598
Se 0.7500 0.8074 0.6148
Se 0.2500 0.1926 0.3852
In 0.7500 0.5437 0.0874
In 0.2500 0.4563 0.9126


5.
Below is a geometry-optimized Sm2InSe structure, with properties calculated at the PBE-GGA level.

Summary:
N(E_F), states/eV/cell: 3.65
SG: R3m (160)
Raw formation energy, meV/atom: -1047
Calculated total energy, eV per cell: -19.847
Excess energy over the best structure of this formula in the dataset, meV per atom: 101

Cell: 3.9805 3.9805 8.7045 Å, 76.78 76.78 60.00°
Fractional coordinates of all 4 atoms:
Sm 0.2621 0.2621 0.2137
Sm 0.0709 0.0709 0.7873
In 0.4995 0.4995 0.5015
Se 0.6675 0.6675 0.9976


6.
Below is a geometry-optimized Sm2InSe structure, with properties calculated at the PBE-GGA level.

Summary:
N(E_F), states/eV/cell: 2.70
SG: P4/mmm (123)
Raw formation energy, meV/atom: -983
Calculated total energy, eV per cell: -19.595
Excess energy over the best structure of this formula in the dataset, meV per atom: 164

Cell: 3.5664 3.5664 8.1997 Å, 90.00 90.00 90.00°
Fractional coordinates of all 4 atoms:
Sm 0.0000 0.0000 0.2282
Sm 0.0000 0.0000 0.7718
Se 0.5000 0.5000 0.0000
In 0.5000 0.5000 0.5000


7.
Below is a geometry-optimized Sm6InSe12 structure, with properties calculated at the PBE-GGA level.

Summary:
N(E_F), states/eV/cell: 7.61
SG: R-3 (148)
Raw formation energy, meV/atom: -1463
Calculated total energy, eV per cell: -100.660

Cell: 8.3132 8.3132 8.3132 Å, 98.05 98.05 98.05°
Fractional coordinates of all 19 atoms:
Se 0.9665 0.0193 0.6549
Se 0.4257 0.5791 0.1804
Se 0.3451 0.0335 0.9807
Se 0.9807 0.3451 0.0335
Se 0.0335 0.9807 0.3451
Se 0.1804 0.4257 0.5791
Se 0.5791 0.1804 0.4257
Se 0.0193 0.6549 0.9665
Se 0.4209 0.8196 0.5743
Se 0.8196 0.5743 0.4209
Se 0.5743 0.4209 0.8196
Se 0.6549 0.9665 0.0193
In 0.0000 0.0000 0.0000
Sm 0.8579 0.3578 0.6688
Sm 0.3578 0.6688 0.8579
Sm 0.6422 0.3312 0.1421
Sm 0.6688 0.8579 0.3578
Sm 0.3312 0.1421 0.6422
Sm 0.1421 0.6422 0.3312


8.
Below is a geometry-optimized Sm5InSe8 structure, with properties calculated at the PBE-GGA level.

Summary:
N(E_F), states/eV/cell: 0.49
SG: F-43m (216)
Raw formation energy, meV/atom: -1631
Calculated total energy, eV per cell: -77.041

Cell: 8.6944 8.6944 8.6944 Å, 60.00 60.00 60.00°
Fractional coordinates of all 14 atoms:
Se 0.3874 0.3874 0.8379
Se 0.3874 0.3874 0.3874
Se 0.8672 0.3984 0.8672
Se 0.3984 0.8672 0.8672
Se 0.8379 0.3874 0.3874
Se 0.3874 0.8379 0.3874
Se 0.8672 0.8672 0.3984
Se 0.8672 0.8672 0.8672
Sm 0.0000 0.0000 0.0000
Sm 0.1376 0.6208 0.6208
Sm 0.6208 0.6208 0.6208
Sm 0.6208 0.1376 0.6208
Sm 0.6208 0.6208 0.1376
In 0.2500 0.2500 0.2500


9.
Below is a geometry-optimized Sm6InSe5 structure, with properties calculated at the PBE-GGA level.

Summary:
N(E_F), states/eV/cell: 6.13
SG: C2/m (12)
Raw formation energy, meV/atom: -1581
Calculated total energy, eV per cell: -67.446

Cell: 7.3162 7.3424 7.3219 Å, 59.91 80.45 70.68°
Fractional coordinates of all 12 atoms:
Se 0.5000 0.5000 0.0000
Se 0.0000 0.6671 0.6659
Se 0.0000 0.3329 0.3341
Se 0.5000 0.8355 0.3290
Se 0.5000 0.1645 0.6710
In 0.0000 0.0000 0.0000
Sm 0.2539 0.5773 0.3388
Sm 0.7461 0.4227 0.6612
Sm 0.7461 0.0838 0.3388
Sm 0.2539 0.9162 0.6612
Sm 0.2508 0.2554 0.0000
Sm 0.7492 0.7446 0.0000


10.
Below is a geometry-optimized Sm6InSe4 structure, with properties calculated at the PBE-GGA level.

Summary:
N(E_F), states/eV/cell: 17.20
SG: Cmcm (63)
Raw formation energy, meV/atom: -1418
Calculated total energy, eV per cell: -121.175

Cell: 4.1454 7.2593 21.2440 Å, 90.00 90.00 106.59°
Fractional coordinates of all 22 atoms:
Se 0.8619 0.7238 0.5399
Se 0.4097 0.8193 0.1233
Se 0.5903 0.1807 0.8767
Se 0.1381 0.2762 0.0399
Se 0.4097 0.8193 0.3767
Se 0.5903 0.1807 0.6233
Se 0.8619 0.7238 0.9601
Se 0.1381 0.2762 0.4601
Sm 0.2279 0.4558 0.5855
Sm 0.9546 0.9092 0.8375
Sm 0.5000 0.0000 0.0000
Sm 0.9546 0.9092 0.6625
Sm 0.7721 0.5442 0.4145
Sm 0.2279 0.4558 0.9145
Sm 0.0454 0.0908 0.3375
Sm 0.0454 0.0908 0.1625
Sm 0.6600 0.3199 0.7500
Sm 0.7721 0.5442 0.0855
Sm 0.5000 0.0000 0.5000
Sm 0.3400 0.6801 0.2500
In 0.6675 0.3350 0.2500
In 0.3325 0.6650 0.7500


11.
Below is a geometry-optimized Sm7InSe5 structure, with properties calculated at the PBE-GGA level.

Summary:
N(E_F), states/eV/cell: 16.19
SG: Cmcm (63)
Raw formation energy, meV/atom: -1484
Calculated total energy, eV per cell: -144.982

Cell: 4.1500 7.2155 24.8999 Å, 89.99 90.00 106.71°
Fractional coordinates of all 26 atoms:
Se 0.4517 0.9034 0.6408
Se 0.0003 0.0006 0.0000
Se 0.7256 0.4512 0.9286
Se 0.2751 0.5502 0.4286
Se 0.7255 0.4510 0.5714
Se 0.5487 0.0973 0.1408
Se 0.5489 0.0977 0.3592
Se 0.4519 0.9038 0.8592
Se 0.2750 0.5499 0.0714
Se 0.0003 0.0006 0.5000
Sm 0.0926 0.1852 0.8872
Sm 0.3627 0.7254 0.5359
Sm 0.4805 0.9609 0.2500
Sm 0.6379 0.2757 0.4641
Sm 0.9081 0.8163 0.3872
Sm 0.0924 0.1849 0.6128
Sm 0.1832 0.3665 0.3237
Sm 0.1830 0.3660 0.1763
Sm 0.9080 0.8159 0.1128
Sm 0.5201 0.0403 0.7500
Sm 0.6378 0.2756 0.0359
Sm 0.8173 0.6347 0.6763
Sm 0.8176 0.6351 0.8237
Sm 0.3628 0.7255 0.9641
In 0.1930 0.3860 0.7501
In 0.8076 0.6152 0.2499


12.
Below is a geometry-optimized Sm2InSe structure, with properties calculated at the PBE-GGA level.

Summary:
N(E_F), states/eV/cell: 2.41
SG: R-3m (166)
Raw formation energy, meV/atom: -1107
Calculated total energy, eV per cell: -20.091
Excess energy over the best structure of this formula in the dataset, meV per atom: 41

Cell: 4.0516 4.0516 8.3639 Å, 75.99 75.99 59.99°
Fractional coordinates of all 4 atoms:
In 0.5000 0.5000 0.5000
Sm 0.2593 0.2593 0.2224
Sm 0.7407 0.7407 0.7776
Se 0.0000 0.0000 0.0000


13.
Below is a geometry-optimized SrSmIn2Se4 structure, with properties calculated at the PBE-GGA level.

Summary:
N(E_F), states/eV/cell: 3.80
SG: P2/m (10)
Raw formation energy, meV/atom: -1201
Calculated total energy, eV per cell: -35.421

Cell: 4.2840 7.6463 7.6391 Å, 71.47 90.00 90.00°
Fractional coordinates of all 8 atoms:
Se 0.0000 0.7424 0.7300
Se 0.0000 0.2576 0.2700
Se 0.5000 0.2699 0.7225
Se 0.5000 0.7301 0.2775
Sm 0.0000 0.5000 0.5000
Sr 0.5000 0.5000 0.0000
In 0.0000 0.0000 0.0000
In 0.5000 0.0000 0.5000


14.
Below is a geometry-optimized Sm4InTe2Se structure, with properties calculated at the PBE-GGA level.

Summary:
N(E_F), states/eV/cell: 3.41
SG: P2/m (10)
Raw formation energy, meV/atom: -1258
Calculated total energy, eV per cell: -41.444

Cell: 4.3341 7.6093 7.6884 Å, 108.86 90.00 90.00°
Fractional coordinates of all 8 atoms:
Sm 0.0000 0.2493 0.7596
Sm 0.5000 0.2399 0.2302
Sm 0.5000 0.7601 0.7698
Sm 0.0000 0.7507 0.2404
Te 0.5000 0.0000 0.5000
Te 0.0000 0.5000 0.5000
Se 0.0000 0.0000 0.0000
In 0.5000 0.5000 0.0000


15.
Below is a geometry-optimized Sm4InTeSe2 structure, with properties calculated at the PBE-GGA level.

Summary:
N(E_F), states/eV/cell: 3.35
SG: P2/m (10)
Raw formation energy, meV/atom: -1351
Calculated total energy, eV per cell: -42.536

Cell: 4.2104 7.5665 7.5368 Å, 71.71 90.00 90.00°
Fractional coordinates of all 8 atoms:
Se 0.0000 0.0000 0.0000
Se 0.5000 0.0000 0.5000
Sm 0.5000 0.7679 0.2371
Sm 0.5000 0.2321 0.7629
Sm 0.0000 0.2340 0.2551
Sm 0.0000 0.7660 0.7449
Te 0.0000 0.5000 0.5000
In 0.5000 0.5000 0.0000


16.
Below is a geometry-optimized Sm6InTe3Se2 structure, with properties calculated at the PBE-GGA level.

Summary:
N(E_F), states/eV/cell: 5.30
SG: C2/m (12)
Raw formation energy, meV/atom: -1372
Calculated total energy, eV per cell: -63.917

Cell: 4.2705 8.9115 9.8249 Å, 104.34 102.55 90.00°
Fractional coordinates of all 12 atoms:
Sm 0.0065 0.2501 0.0129
Sm 0.6732 0.5671 0.3465
Sm 0.3348 0.9004 0.6697
Sm 0.6652 0.0996 0.3303
Sm 0.3268 0.4329 0.6535
Sm 0.9935 0.7499 0.9871
Te 0.1657 0.8298 0.3314
Te 0.5000 0.5000 0.0000
Te 0.8343 0.1703 0.6686
Se 0.1681 0.3340 0.3362
Se 0.8319 0.6660 0.6638
In 0.5000 0.0000 0.0000


17.
Below is a geometry-optimized Sm2UIn3Se6 structure, with properties calculated at the PBE-GGA level.

Summary:
N(E_F), states/eV/cell: 11.20
SG: C2/m (12)
Raw formation energy, meV/atom: -1112
Calculated total energy, eV per cell: -63.190

Cell: 7.2913 7.2913 8.1319 Å, 98.59 98.59 119.97°
Fractional coordinates of all 12 atoms:
Se 0.3988 0.0705 0.2115
Se 0.2572 0.2572 0.7871
Se 0.7428 0.7428 0.2129
Se 0.6012 0.9295 0.7885
Se 0.9295 0.6012 0.7885
Se 0.0705 0.3988 0.2115
In 0.8322 0.1678 0.5000
In 0.1678 0.8322 0.5000
In 0.5000 0.5000 0.5000
Sm 0.3334 0.6666 0.0000
Sm 0.6666 0.3334 0.0000
U 0.0000 0.0000 0.0000


18.
Below is a geometry-optimized Sm2YIn3Se6 structure, with properties calculated at the PBE-GGA level.

Summary:
SG: C2/m (12)
Raw formation energy, meV/atom: -1300
Calculated total energy, eV per cell: -60.630

Cell: 7.2891 7.2891 8.1034 Å, 98.62 98.62 119.99°
Fractional coordinates of all 12 atoms:
Sm 0.6666 0.3334 0.0000
Sm 0.3334 0.6666 0.0000
Y 0.0000 0.0000 0.0000
In 0.1678 0.8322 0.5000
In 0.8322 0.1678 0.5000
In 0.5000 0.5000 0.5000
Se 0.0704 0.3988 0.2111
Se 0.7424 0.7424 0.2127
Se 0.3988 0.0704 0.2111
Se 0.6012 0.9296 0.7889
Se 0.2576 0.2576 0.7873
Se 0.9296 0.6012 0.7889


no.,density (g/cm³)
1,7.1
2,5.7
3,5.0
4,7.4
5,7.1
6,7.9
7,5.9
8,5.4
9,7.3
10,7.2
11,7.3
12,7.2
13,5.5
14,7.3
15,7.3
16,7.3
17,6.3
18,5.6